Record 1
# Cs2LaPdI6 (PBE, relaxed)
data_Cs2LaPdI6
_space_group_name_H-M_alt 'I 4/m m m'
_space_group_IT_number 139
_space_group_name_Hall '-I 4 2'
_cell_length_a 8.6628
_cell_length_b 8.6628
_cell_length_c 12.0744
_cell_angle_alpha 90.00
_cell_angle_beta 90.00
_cell_angle_gamma 90.00
loop_
_atom_site_label
_atom_site_fract_x
_atom_site_fract_y
_atom_site_fract_z
Cs1 0.0000 0.5000 0.2500
La1 0.0000 0.0000 0.0000
Pd1 0.0000 0.0000 0.5000
I1 0.0000 0.0000 0.2615
I2 0.2424 0.2424 0.5000
# offset from the most stable computed form = 36 meV/atom
# raw total energy = -3.287 eV per atom

***

Record 2
# Cs2RbLaI6 (PBE, relaxed)
data_Cs2RbLaI6
_space_group_name_H-M_alt 'P 1 21/c 1'
_space_group_IT_number 14
_cell_length_a 9.0152
_cell_length_b 9.5745
_cell_length_c 15.5832
_cell_angle_alpha 90.00
_cell_angle_beta 124.21
_cell_angle_gamma 90.00
loop_
_space_group_symop_operation_xyz
'x,y,z'
'-x,-y,-z'
'-x,y+1/2,-z+1/2'
'x,-y+1/2,z+1/2'
loop_
_atom_site_label
_atom_site_fract_x
_atom_site_fract_y
_atom_site_fract_z
Cs1 0.2158 0.0772 0.2462
Rb1 0.0000 0.0000 0.5000
La1 0.5000 0.0000 0.0000
I1 0.1637 0.1821 0.9480
I2 0.2631 0.7229 0.9366
I3 0.3840 0.0391 0.7677
# offset from the most stable computed form = 0 meV/atom
# raw total energy = -3.247 eV per atom

***

Record 3
# Cs2RbLaI6 (PBE, relaxed)
data_Cs2RbLaI6
_space_group_name_H-M_alt 'F m -3 m'
_space_group_IT_number 225
_space_group_name_Hall '-F 4 2 3'
_cell_length_a 13.2948
_cell_length_b 13.2948
_cell_length_c 13.2948
_cell_angle_alpha 90.00
_cell_angle_beta 90.00
_cell_angle_gamma 90.00
loop_
_atom_site_label
_atom_site_fract_x
_atom_site_fract_y
_atom_site_fract_z
Cs1 0.2500 0.2500 0.2500
Rb1 0.0000 0.0000 0.0000
La1 0.0000 0.0000 0.5000
I1 0.0000 0.0000 0.2629
# offset from the most stable computed form = 46 meV/atom
# raw total energy = -3.201 eV per atom

***

Record 4
# Cs2La10Ru2I17 (PBE, relaxed)
data_Cs2La10Ru2I17
_space_group_name_H-M_alt 'C 1 2/m 1'
_space_group_IT_number 12
_cell_length_a 14.0977
_cell_length_b 19.2573
_cell_length_c 10.1140
_cell_angle_alpha 90.00
_cell_angle_beta 95.57
_cell_angle_gamma 90.00
loop_
_space_group_symop_operation_xyz
'x,y,z'
'-x,-y,-z'
'-x,y,-z'
'x,-y,z'
'x+1/2,y+1/2,z'
'-x+1/2,-y+1/2,-z'
'-x+1/2,y+1/2,-z'
'x+1/2,-y+1/2,z'
loop_
_atom_site_label
_atom_site_fract_x
_atom_site_fract_y
_atom_site_fract_z
Cs1 0.0000 0.1755 0.0000
La1 0.0654 0.5000 0.6780
La2 0.1414 0.3494 0.4295
La3 0.1695 0.0000 0.4390
La4 0.2048 0.5000 0.1866
Ru1 0.1430 0.5000 0.4302
I1 0.0000 0.5000 0.0000
I2 0.0640 0.0000 0.7152
I3 0.0726 0.3258 0.7282
I4 0.1440 0.1694 0.4175
I5 0.2120 0.0000 0.1283
I6 0.2166 0.3328 0.1411
# raw total energy = -4.426 eV per atom

***

Record 5
# Cs2LaRuI6 (PBE, relaxed)
data_Cs2LaRuI6
_space_group_name_H-M_alt 'F m -3 m'
_space_group_IT_number 225
_space_group_name_Hall '-F 4 2 3'
_cell_length_a 11.9218
_cell_length_b 11.9218
_cell_length_c 11.9218
_cell_angle_alpha 90.00
_cell_angle_beta 90.00
_cell_angle_gamma 90.00
loop_
_atom_site_label
_atom_site_fract_x
_atom_site_fract_y
_atom_site_fract_z
Cs1 0.2500 0.2500 0.2500
La1 0.0000 0.0000 0.0000
Ru1 0.0000 0.0000 0.5000
I1 0.0000 0.0000 0.2647
# raw total energy = -3.500 eV per atom

***

Record 6
# CsLaSI2 (PBE, relaxed)
data_CsLaSI2
_space_group_name_H-M_alt 'P 4/m m m'
_space_group_IT_number 123
_space_group_name_Hall '-P 4 2'
_cell_length_a 6.5230
_cell_length_b 6.5230
_cell_length_c 5.4297
_cell_angle_alpha 90.00
_cell_angle_beta 90.00
_cell_angle_gamma 90.00
loop_
_atom_site_label
_atom_site_fract_x
_atom_site_fract_y
_atom_site_fract_z
Cs1 0.0000 0.0000 0.0000
La1 0.5000 0.5000 0.5000
S1 0.5000 0.5000 0.0000
I1 0.0000 0.5000 0.5000
# raw total energy = -4.200 eV per atom

***

no.,formation energy from raw total energies (eV/atom)
1,-1.174
2,-1.557
3,-1.510
4,-1.333
5,-0.979
6,-1.598